Here is crystalline AlSbPt2S at its relaxed geometry from Alexandria via LeMat-Bulk. Energies are from GGA-PBEsol.

Calculated values
Uncorrected formation energy (eV per atom): 1.13
Total moment (μB per formula unit): 0.0
DOS at the Fermi energy (states/eV/f.u.): 5.889

Cell: 4.890 4.890 5.144 Å, 90.00 90.00 90.00°
Space group P4/mmm (No. 123)
One atom of each set of equivalent atoms:
Al (0.000, 0.000, 0.000)
Sb (0.000, 0.000, 0.500)
Pt (0.000, 0.500, 0.500)
S (0.500, 0.500, 0.000)